No. 1
The following is a PBE-GGA calculation of a geometry-optimized TlFeNi2 structure, from the Alexandria database.

Calculated values
- DOS at the Fermi energy (states/eV/f.u.) = 3.08
- energy of formation from the pure elements (eV per atom) = 0.30
- energy (eV/atom) = -5.294

abc: 4.6681 4.6681 4.6681
angles: 131.44 131.53 71.04
Each line ends with the local moment (μB).
Positions (direct):
1 Fe 0.2502 0.7502 0.5000  2.70
2 Ni 0.0000 0.0000 0.0000  0.43
3 Ni 0.7499 0.2499 0.5000  0.32
4 Tl 0.5000 0.5000 0.0000  -0.06


No. 2
The following is a PBE-GGA calculation of a geometry-optimized TlFe2Ni structure, from the Alexandria database.

Calculated values
- DOS at the Fermi energy (states/eV/f.u.) = 4.31
- energy of formation from the pure elements (eV per atom) = 0.49
- energy (eV/atom) = -5.778

abc: 4.7118 4.7118 2.8278
angles: 90.00 90.00 111.43
Each line ends with the local moment (μB).
Positions (direct):
1 Fe 0.0000 0.0000 0.0000  2.67
2 Fe 0.5000 0.5000 0.0000  2.67
3 Ni 0.5000 0.0000 0.5000  0.60
4 Tl 0.0000 0.5000 0.5000  -0.08


No. 3
The following is a PBE-GGA calculation of a geometry-optimized Tl2FeNi structure, from the Alexandria database.

Calculated values
- DOS at the Fermi energy (states/eV/f.u.) = 2.81
- energy of formation from the pure elements (eV per atom) = 0.59
- energy (eV/atom) = -4.157

abc: 8.5896 8.5896 8.5896
angles: 21.35 21.35 21.35
Each line ends with the local moment (μB).
Positions (direct):
1 Fe 0.2500 0.2500 0.2500  2.64
2 Ni 0.7500 0.7500 0.7500  -0.11
3 Tl 0.0032 0.0032 0.0032  -0.05
4 Tl 0.4968 0.4968 0.4968  -0.05


no.,relative energy among the computed polymorphs (eV/atom)
1,0.083
2,0.173
3,0.230